#P
{
  "formula": "LaMnNb2",
  "functional": "PBE",
  "state": "optimized geometry",
  "lattice": [[0.000, 3.313, 3.313], [3.313, 0.000, 3.313], [3.313, 3.313, 0.000]],
  "species": ["Nb", "Nb", "Mn", "La"],
  "fractional_positions": [[0.750, 0.750, 0.750], [0.250, 0.250, 0.250], [0.000, 0.000, 0.000], [0.500, 0.500, 0.500]],
  "sg": "No. 225"
}


#Q
{
  "formula": "LaMnNb2",
  "functional": "PBE",
  "state": "optimized geometry",
  "lattice": [[-0.064, -4.803, -1.252], [4.961, -0.024, -0.161], [2.713, -4.617, 7.735]],
  "species": ["Nb", "Nb", "Nb", "Nb", "La", "La", "Mn", "Mn"],
  "fractional_positions": [[0.875, 0.625, 0.750], [0.375, 0.625, 0.750], [0.375, 0.125, 0.250], [0.375, 0.625, 0.250], [0.000, 0.000, 0.000], [0.750, 0.250, 0.500], [0.250, 0.750, 0.500], [0.500, 0.500, 0.000]],
  "sg": "No. 141"
}


Result of the stability comparison: #Q is the least stable of them.


#P
{
  "formula": "LaMnNi3",
  "functional": "PBE",
  "state": "optimized geometry",
  "lattice": [[4.413, 0.000, 0.000], [0.000, 4.413, 0.000], [0.000, 0.000, 4.413]],
  "species": ["Ni", "Ni", "Ni", "Mn", "La"],
  "fractional_positions": [[0.000, 0.500, 0.000], [0.500, 0.000, 0.000], [0.000, 0.000, 0.500], [0.000, 0.000, 0.000], [0.500, 0.500, 0.500]],
  "sg": "No. 221"
}


#Q
{
  "formula": "LaMnNi3",
  "functional": "PBE",
  "state": "optimized geometry",
  "lattice": [[5.518, 0.000, 0.000], [0.000, 5.873, 0.003], [0.000, -2.934, 5.092]],
  "species": ["Ni", "Ni", "Ni", "Ni", "Ni", "Ni", "La", "La", "Mn", "Mn"],
  "fractional_positions": [[0.250, 0.393, 0.197], [0.750, 0.607, 0.803], [0.750, 0.197, 0.392], [0.750, 0.196, 0.803], [0.250, 0.804, 0.197], [0.250, 0.803, 0.608], [0.250, 0.333, 0.667], [0.750, 0.667, 0.333], [0.000, 0.000, 0.000], [0.500, 0.000, 0.000]],
  "sg": "No. 63"
}


#R
{
  "formula": "LaMnNi3",
  "functional": "PBE",
  "state": "optimized geometry",
  "lattice": [[-3.259, 2.146, 2.668], [-3.234, -3.140, -1.425], [1.125, -2.808, 3.633]],
  "species": ["La", "Mn", "Ni", "Ni", "Ni"],
  "fractional_positions": [[0.000, 0.000, 0.000], [0.500, 0.500, 0.500], [0.500, 0.000, 0.000], [0.000, 0.500, 0.000], [0.000, 0.000, 0.500]],
  "sg": "No. 221"
}


Result of the stability comparison: #R is the least stable of them.